## BeSnS2 (PBE)

Data for crystalline BeSnS2 at its relaxed geometry.

POSCAR file:
```
BeSnS2
1.0
6.383 0.000 0.000
0.000 6.383 0.000
3.191 3.191 3.918
Be S Sn
2 4 2
Direct
0.500 0.500 0.000 Be
0.250 0.750 0.500 Be
0.530 0.125 0.250 S
0.220 0.625 0.250 S
0.375 0.470 0.750 S
0.875 0.780 0.750 S
0.000 0.000 0.000 Sn
0.750 0.250 0.500 Sn
```

Values from the calculation:
The crystal system is tetragonal. The calculation puts the total moment at 0.00 μB per formula unit. The space-group type is I-42d (122). The distance to the lowest polymorph of the same formula is 0.000 eV/atom. The volume comes out at 160 Å³ per cell. For the formation energy (no corrections), the calculation gives -0.548 eV per atom. The calculation puts the density of states at the Fermi level at 0.000 states/eV per cell.